Computed, not measured: LiCo3P at its PBEsol-relaxed geometry at the SCAN level of DFT.

```
LiCo3P
1.0
3.7251 0.0000 0.0000
0.0000 3.7251 0.0000
0.0000 0.0000 3.7251
Li Co P
1 3 1
direct
0.0000 0.0000 0.0000
0.0000 0.0000 0.5000
0.0000 0.5000 0.0000
0.5000 0.0000 0.0000
0.5000 0.5000 0.5000
```

Calculated values
The calculation puts the total magnetization at 2.950 μB per cell. The value obtained for the energy relative to the elements is 1.121 eV/atom. The calculation puts the total energy at -59.1 eV/f.u. As for the density of states at the Fermi level: 7.04 states/eV per cell.

***

Computed, not measured: Li2CoP at its PBEsol-relaxed geometry at the SCAN level of DFT.

```
Li2CoP
1.0
-1.6524 1.6524 3.9924
1.6524 -1.6524 3.9924
1.6524 1.6524 -3.9924
Li Co P
2 1 1
direct
0.2500 0.7500 0.5000
0.7500 0.2500 0.5000
0.0000 0.0000 0.0000
0.5000 0.5000 0.0000
```

Calculated values
The calculation puts the total magnetization at 0.001 μB per cell. The value obtained for the energy relative to the elements is -0.212 eV/atom. The calculation puts the total energy at -33.3 eV/f.u. As for the density of states at the Fermi level: 1.97 states/eV per cell.

***

Computed, not measured: Li2CoP at its PBEsol-relaxed geometry at the SCAN level of DFT.

```
Li2CoP
1.0
-1.6483 1.6483 8.7841
1.6483 -1.6483 8.7841
1.6483 1.6483 -8.7841
Li Co P
4 2 2
direct
0.1169 0.6250 0.9919
0.3750 0.3669 0.4919
0.6331 0.1250 0.0081
0.8750 0.8831 0.5081
0.2500 0.7500 0.5000
0.5000 0.5000 0.0000
0.0000 0.0000 0.0000
0.7500 0.2500 0.5000
```

Calculated values
The calculation puts the total magnetization at 0.007 μB per cell. The value obtained for the energy relative to the elements is 0.004 eV/atom. The calculation puts the total energy at -32.5 eV/f.u. As for the density of states at the Fermi level: 2.32 states/eV per cell.

***

Computed, not measured: LiCo2Pb at its PBEsol-relaxed geometry at the SCAN level of DFT.

```
LiCo2Pb
1.0
0.0000 3.0046 3.0046
3.0046 0.0000 3.0046
3.0046 3.0046 0.0000
Li Co Pb
1 2 1
direct
0.0000 0.0000 0.0000
0.2500 0.2500 0.2500
0.5000 0.5000 0.5000
0.7500 0.7500 0.7500
```

Calculated values
The calculation puts the total magnetization at 3.509 μB per cell. The value obtained for the energy relative to the elements is 0.169 eV/atom. The calculation puts the total energy at -112.1 eV/f.u. As for the density of states at the Fermi level: 2.26 states/eV per cell.